First-principles (PBE) data for crystalline SrLi4Pd3F12 at its relaxed geometry, as listed in Alexandria via LeMat-Bulk.

Geometry as POSCAR:
```
SrLi4Pd3F12
1.0
-3.8738 3.8738 3.8738
3.8738 -3.8738 3.8738
3.8738 3.8738 -3.8738
Sr Li Pd F
1 4 3 12
Direct
0.0000 0.0000 0.0000
0.0000 0.0000 0.5000
0.0000 0.5000 0.0000
0.5000 0.0000 0.0000
0.5000 0.5000 0.5000
0.0000 0.5000 0.5000
0.5000 0.0000 0.5000
0.5000 0.5000 0.0000
0.1305 0.3014 0.8292
0.1708 0.4722 0.3014
0.1708 0.8695 0.6986
0.3014 0.1708 0.4722
0.3014 0.8292 0.1305
0.4722 0.3014 0.1708
0.5278 0.6986 0.8292
0.6986 0.1708 0.8695
0.6986 0.8292 0.5278
0.8292 0.1305 0.3014
0.8292 0.5278 0.6986
0.8695 0.6986 0.1708
```

Computed properties:
As for the calculated density: 4.73 Mg/m³. The formation energy from raw total energies is -2.30 eV per atom.